# NpPt3O8

A geometry-optimized NpPt3O8 structure (PBE, Alexandria via LeMat-Bulk).

abc: 6.3101 6.3101 9.6459
angles: 90.00 90.00 120.00
Each line ends with the local moment (μB).
Atoms (fractional coordinates):
Np1 0.6667 0.3333 0.9937  2.89
Np2 0.3333 0.6667 0.4937  2.89
Pt1 0.8333 0.6667 0.7130  0.08
Pt2 0.3333 0.1667 0.7130  0.08
Pt3 0.8333 0.1667 0.7130  0.08
Pt4 0.1667 0.8333 0.2130  0.08
Pt5 0.6667 0.8333 0.2130  0.08
Pt6 0.1667 0.3333 0.2130  0.08
O1 0.8431 0.6863 0.1036  -0.04
O2 0.5190 0.4810 0.8297  -0.03
O3 0.6667 0.3333 0.6128  0.03
O4 0.0000 0.0000 0.8120  0.02
O5 0.0000 0.0000 0.3120  0.02
O6 0.3137 0.1569 0.1036  -0.04
O7 0.9620 0.4810 0.8297  -0.03
O8 0.5190 0.0380 0.8297  -0.03
O9 0.1569 0.8431 0.6036  -0.04
O10 0.8431 0.1569 0.1036  -0.04
O11 0.4810 0.9620 0.3297  -0.03
O12 0.0380 0.5190 0.3297  -0.03
O13 0.3333 0.6667 0.1128  0.03
O14 0.6863 0.8431 0.6036  -0.04
O15 0.4810 0.5190 0.3297  -0.03
O16 0.1569 0.3137 0.6036  -0.04

Properties
V   332.6 Å³/cell
Symmetry   P6_3mc (186)
Formation energy from raw total energies   -1.063 eV/atom
M_tot   3.0 μB per formula unit

***

# BaLiMg2

A geometry-optimized BaLiMg2 structure (PBE, Alexandria via LeMat-Bulk).

abc: 5.9030 5.9030 3.8221
angles: 90.00 90.00 90.00
Atoms (fractional coordinates):
Ba1 0.5000 0.0000 0.5000
Li1 0.0000 0.5000 0.5000
Mg1 0.0000 0.0000 0.0000
Mg2 0.5000 0.5000 0.0000

Properties
V   133.2 Å³/cell
Symmetry   P4/mmm (123)
M_tot   0.0 μB per formula unit
Polymorph energy (0 for the lowest one)   0.81 eV/f.u.
ΔE_f   0.1580 eV per atom

***

# Sc2BeOs

A geometry-optimized Sc2BeOs structure (PBE, Alexandria via LeMat-Bulk).

abc: 8.3500 8.3500 8.3500
angles: 21.63 21.63 21.63
Atoms (fractional coordinates):
Sc1 0.9999 0.9999 0.9999
Sc2 0.5001 0.5001 0.5001
Be1 0.2500 0.2500 0.2500
Os1 0.7500 0.7500 0.7500

Properties
V   69.3 Å³/cell
Symmetry   R-3m (166)
M_tot   0.0 μB per formula unit
ΔE_f   0.1432 eV per atom

***

# Pr8SiSe3S4

A geometry-optimized Pr8SiSe3S4 structure (PBE, Alexandria via LeMat-Bulk).

abc: 8.4068 8.3884 8.4068
angles: 120.07 120.00 90.00
Atoms (fractional coordinates):
Pr1 0.2476 0.7586 0.0110
Pr2 0.2476 0.7586 0.4952
Pr3 0.2431 0.2294 0.4862
Pr4 0.7634 0.7586 0.0110
Pr5 0.2366 0.2414 0.9890
Pr6 0.7569 0.7706 0.5138
Pr7 0.7524 0.2414 0.5048
Pr8 0.7524 0.2414 0.9890
Si1 0.0000 0.5000 0.0000
Se1 0.5000 0.5000 0.0000
Se2 0.5000 0.5000 0.5000
Se3 0.0000 0.5000 0.5000
S1 0.5000 0.0000 0.0000
S2 0.5000 0.0000 0.5000
S3 0.0000 0.0000 0.0000
S4 0.0000 0.0000 0.5000

Properties
V   418.7 Å³/cell
Symmetry   R-3m (166)
Formation energy from raw total energies   -1.815 eV/atom
M_tot   0.0 μB per formula unit

***

# Sc2CoAu

A geometry-optimized Sc2CoAu structure (PBE, Alexandria via LeMat-Bulk).

abc: 7.1671 7.1671 5.8257
angles: 52.04 52.04 90.00
Atoms (fractional coordinates):
Sc1 0.5827 0.1250 0.2500
Sc2 0.1673 0.6250 0.2500
Sc3 0.3750 0.4173 0.7500
Sc4 0.8750 0.8327 0.7500
Co1 0.5000 0.5000 0.0000
Co2 0.2500 0.7500 0.5000
Au1 0.0000 0.0000 0.0000
Au2 0.7500 0.2500 0.5000

Properties
V   147.6 Å³/cell
Symmetry   I-42d (122)
M_tot   0.0 μB per formula unit
ΔE_f   -0.1739 eV per atom

***

# Sn3Rh7

A geometry-optimized Sn3Rh7 structure (PBE, Alexandria via LeMat-Bulk).

abc: 4.0867 5.6184 7.4768
angles: 105.06 105.86 90.00
Atoms (fractional coordinates):
Sn1 0.0000 0.0000 0.0000
Sn2 0.8084 0.3694 0.6168
Sn3 0.1916 0.6306 0.3832
Rh1 0.0000 0.5000 0.0000
Rh2 0.7965 0.8799 0.5930
Rh3 0.2035 0.1201 0.4070
Rh4 0.6068 0.3214 0.2135
Rh5 0.3932 0.6786 0.7865
Rh6 0.5953 0.8200 0.1906
Rh7 0.4047 0.1800 0.8094

Properties
V   159.0 Å³/cell
Symmetry   C2/m (12)
M_tot   0.0 μB per formula unit
ΔE_f   -0.3121 eV per atom

***

# PmYOs

A geometry-optimized PmYOs structure (PBE, Alexandria via LeMat-Bulk).

abc: 3.4388 3.4388 7.1697
angles: 103.88 103.88 90.00
Atoms (fractional coordinates):
Y1 0.3263 0.3263 0.6526
Os1 0.9479 0.9479 0.8957
Pm1 0.5758 0.5758 0.1517

Properties
V   79.8 Å³/cell
Symmetry   I4mm (107)
M_tot   0.0 μB per formula unit
Polymorph energy (0 for the lowest one)   0.00 eV/f.u.
ΔE_f   -0.1340 eV per atom

***

# NaPtF2

A geometry-optimized NaPtF2 structure (PBE, Alexandria via LeMat-Bulk).

abc: 6.9707 6.9707 6.9707
angles: 24.94 24.94 24.94
Atoms (fractional coordinates):
Na1 0.5000 0.5000 0.5000
Pt1 0.0000 0.0000 0.0000
F1 0.9002 0.9002 0.9002
F2 0.0998 0.0998 0.0998

Properties
V   53.0 Å³/cell
Symmetry   R-3m (166)
Formation energy from raw total energies   -1.648 eV/atom
M_tot   0.0 μB per formula unit
Polymorph energy (0 for the lowest one)   0.00 eV/f.u.

***

# LiMn2W

A geometry-optimized LiMn2W structure (PBE, Alexandria via LeMat-Bulk).

abc: 3.0049 3.0049 5.8231
angles: 90.00 90.00 90.00
Each line ends with the local moment (μB).
Atoms (fractional coordinates):
Li1 0.5000 0.5000 0.7629  -0.04
Mn1 0.0000 0.0000 0.9935  3.34
Mn2 0.5000 0.5000 0.2576  -0.31
W1 0.0000 0.0000 0.4860  0.03

Properties
V   52.6 Å³/cell
Symmetry   P4mm (99)
M_tot   3.1 μB per formula unit
ΔE_f   0.4148 eV per atom

***

# Y3HoAl4

A geometry-optimized Y3HoAl4 structure (PBE, Alexandria via LeMat-Bulk).

abc: 3.5980 3.5980 14.3900
angles: 90.00 90.00 90.00
Atoms (fractional coordinates):
Y1 0.5000 0.5000 0.2487
Y2 0.5000 0.5000 0.5000
Y3 0.5000 0.5000 0.7513
Ho1 0.5000 0.5000 0.0000
Al1 0.0000 0.0000 0.8770
Al2 0.0000 0.0000 0.1230
Al3 0.0000 0.0000 0.3743
Al4 0.0000 0.0000 0.6257

Properties
V   186.3 Å³/cell
Symmetry   P4/mmm (123)
M_tot   0.0 μB per formula unit
ΔE_f   -0.4125 eV per atom

***

# Dy2HoIr

A geometry-optimized Dy2HoIr structure (PBE, Alexandria via LeMat-Bulk).

abc: 6.3714 7.2085 9.2939
angles: 90.00 90.00 90.00
Atoms (fractional coordinates):
Dy1 0.1745 0.6774 0.0628
Dy2 0.3255 0.1774 0.4372
Dy3 0.8255 0.3226 0.5628
Dy4 0.6745 0.8226 0.9372
Dy5 0.8255 0.3226 0.9372
Dy6 0.6745 0.8226 0.5628
Dy7 0.1745 0.6774 0.4372
Dy8 0.3255 0.1774 0.0628
Ho1 0.6323 0.5344 0.2500
Ho2 0.8677 0.0344 0.2500
Ho3 0.3677 0.4656 0.7500
Ho4 0.1323 0.9656 0.7500
Ir1 0.0451 0.3837 0.2500
Ir2 0.4549 0.8837 0.2500
Ir3 0.9549 0.6163 0.7500
Ir4 0.5451 0.1163 0.7500

Properties
V   426.9 Å³/cell
Symmetry   Pnma (62)
M_tot   0.0 μB per formula unit
Polymorph energy (0 for the lowest one)   0.00 eV/f.u.
ΔE_f   -0.5857 eV per atom

***

# NaCaI2Cl

A geometry-optimized NaCaI2Cl structure (PBE, Alexandria via LeMat-Bulk).

abc: 6.2174 6.2174 5.2563
angles: 90.00 90.00 90.00
Atoms (fractional coordinates):
I1 0.0000 0.5000 0.0000
I2 0.5000 0.0000 0.0000
Na1 0.5000 0.5000 0.5000
Ca1 0.0000 0.0000 0.0000
Cl1 0.0000 0.0000 0.5000

Properties
V   203.2 Å³/cell
Symmetry   P4/mmm (123)
Formation energy from raw total energies   -1.534 eV/atom
M_tot   0.0 μB per formula unit

***

# Tc2AgTe

A geometry-optimized Tc2AgTe structure (PBE, Alexandria via LeMat-Bulk).

abc: 3.9739 3.9739 10.2855
angles: 78.86 78.86 90.00
Atoms (fractional coordinates):
Te1 0.0000 0.0000 0.0000
Te2 0.7500 0.2500 0.5000
Tc1 0.5464 0.1250 0.2500
Tc2 0.2036 0.6250 0.2500
Tc3 0.3750 0.4536 0.7500
Tc4 0.8750 0.7964 0.7500
Ag1 0.5000 0.5000 0.0000
Ag2 0.2500 0.7500 0.5000

Properties
V   156.2 Å³/cell
Symmetry   I-42d (122)
Formation energy from raw total energies   0.713 eV/atom
M_tot   0.0 μB per formula unit

***

# ScAl2H2

A geometry-optimized ScAl2H2 structure (PBE, Alexandria via LeMat-Bulk).

abc: 5.6207 5.6207 4.0431
angles: 90.00 90.00 90.00
Atoms (fractional coordinates):
Sc1 0.0000 0.0000 0.0000
Sc2 0.5000 0.5000 0.0000
H1 0.3130 0.8130 0.0000
H2 0.8130 0.6870 0.0000
H3 0.6870 0.1870 0.0000
H4 0.1870 0.3130 0.0000
Al1 0.3100 0.8100 0.5000
Al2 0.8100 0.6900 0.5000
Al3 0.6900 0.1900 0.5000
Al4 0.1900 0.3100 0.5000

Properties
V   127.7 Å³/cell
Symmetry   P4/mbm (127)
M_tot   0.0 μB per formula unit
Polymorph energy (0 for the lowest one)   0.00 eV/f.u.

***

# ZrIrBr2

A geometry-optimized ZrIrBr2 structure (PBE, Alexandria via LeMat-Bulk).

abc: 3.6325 4.3429 7.5750
angles: 72.83 90.00 90.00
Each line ends with the local moment (μB).
Atoms (fractional coordinates):
Ir1 0.0000 0.4373 0.5990  0.51
Br1 0.0000 0.9730 0.9077  0.08
Br2 0.5000 0.2776 0.3396  0.03
Zr1 0.5000 0.8122 0.6537  0.12

Properties
V   114.2 Å³/cell
Symmetry   Pm (6)
Formation energy from raw total energies   -0.410 eV/atom
M_tot   1.0 μB per formula unit
Polymorph energy (0 for the lowest one)   0.52 eV/f.u.

***

# GaB2AsC

A geometry-optimized GaB2AsC structure (PBE, Alexandria via LeMat-Bulk).

abc: 3.9190 5.4967 3.9190
angles: 90.00 90.00 90.00
Each line ends with the local moment (μB).
Atoms (fractional coordinates):
As1 0.0000 0.0000 0.0000  0.01
B1 0.0000 0.0000 0.5000  -0.04
B2 0.5000 0.0000 0.0000  -0.09
C1 0.5000 0.5000 0.5000  0.49
Ga1 0.0000 0.5000 0.0000  -0.01

Properties
V   84.4 Å³/cell
Symmetry   P4/mmm (123)
M_tot   0.7 μB per formula unit
ΔE_f   2.4634 eV per atom

***

# NaHfNbH2

A geometry-optimized NaHfNbH2 structure (PBE, Alexandria via LeMat-Bulk).

abc: 4.0290 5.2221 4.0290
angles: 90.00 90.00 90.00
Atoms (fractional coordinates):
Na1 0.5000 0.5000 0.5000
Nb1 0.0000 0.5000 0.0000
Hf1 0.0000 0.0000 0.0000
H1 0.0000 0.0000 0.5000
H2 0.5000 0.0000 0.0000

Properties
V   84.8 Å³/cell
Symmetry   P4/mmm (123)
M_tot   0.0 μB per formula unit
E_tot   -4.7411 eV/atom

***

# ReSbWI2

A geometry-optimized ReSbWI2 structure (PBE, Alexandria via LeMat-Bulk).

abc: 5.5651 5.5651 5.3128
angles: 90.00 90.00 90.00
Each line ends with the local moment (μB).
Atoms (fractional coordinates):
I1 0.0000 0.5000 0.0000  0.10
I2 0.5000 0.0000 0.0000  0.10
Re1 0.5000 0.5000 0.5000  4.11
W1 0.0000 0.0000 0.0000  1.45
Sb1 0.0000 0.0000 0.5000  -0.12

Properties
V   164.5 Å³/cell
Symmetry   P4/mmm (123)
Formation energy from raw total energies   1.870 eV/atom
M_tot   6.9 μB per formula unit
Polymorph energy (0 for the lowest one)   0.00 eV/f.u.

***

# K3CaAs

A geometry-optimized K3CaAs structure (PBE, Alexandria via LeMat-Bulk).

abc: 6.4757 6.4757 6.4757
angles: 90.00 90.00 90.00
Atoms (fractional coordinates):
K1 0.0000 0.5000 0.0000
K2 0.0000 0.0000 0.5000
K3 0.5000 0.0000 0.0000
As1 0.0000 0.0000 0.0000
Ca1 0.5000 0.5000 0.5000

Properties
V   271.6 Å³/cell
Symmetry   Pm-3m (221)
M_tot   0.0 μB per formula unit
Polymorph energy (0 for the lowest one)   0.00 eV/f.u.
ΔE_f   0.0253 eV per atom

***

# Ce5PmTe6

A geometry-optimized Ce5PmTe6 structure (PBE, Alexandria via LeMat-Bulk).

abc: 7.7577 7.7598 7.7822
angles: 60.10 80.38 70.41
Each line ends with the local moment (μB).
Atoms (fractional coordinates):
Te1 0.7512 0.0826 0.3325  -0.02
Te2 0.2488 0.5848 0.3325  -0.02
Te3 0.2506 0.2487 0.0000  -0.02
Te4 0.7494 0.7513 0.0000  -0.02
Te5 0.7512 0.4152 0.6675  -0.02
Te6 0.2488 0.9174 0.6675  -0.02
Ce1 0.5000 0.1675 0.6651  0.96
Ce2 0.0000 0.3340 0.3321  0.95
Ce3 0.5000 0.5000 0.0000  0.96
Ce4 0.0000 0.6660 0.6679  0.95
Ce5 0.5000 0.8325 0.3349  0.96
Pm1 0.0000 0.0000 0.0000  0.00

Properties
V   382.6 Å³/cell
Symmetry   C2/m (12)
Formation energy from raw total energies   -1.375 eV/atom
M_tot   5.7 μB per formula unit

***

# MgAg2Au2

A geometry-optimized MgAg2Au2 structure (PBE, Alexandria via LeMat-Bulk).

abc: 4.1494 5.0348 5.1334
angles: 79.51 66.16 65.67
Atoms (fractional coordinates):
Mg1 0.0000 0.0000 0.0000
Ag1 0.1981 0.2009 0.4029
Ag2 0.8019 0.7991 0.5971
Au1 0.5989 0.6068 0.1955
Au2 0.4011 0.3932 0.8045

Properties
V   89.4 Å³/cell
Symmetry   C2/m (12)
M_tot   0.0 μB per formula unit
Polymorph energy (0 for the lowest one)   0.00 eV/f.u.
ΔE_f   -0.2615 eV per atom

***

# Th3As2Rh9

A geometry-optimized Th3As2Rh9 structure (PBE, Alexandria via LeMat-Bulk).

abc: 6.4692 6.4692 7.1146
angles: 90.00 90.00 120.00
Atoms (fractional coordinates):
Th1 0.6667 0.3333 0.6636
Th2 0.0000 0.0000 0.0000
Th3 0.3333 0.6667 0.3364
As1 0.6667 0.3333 0.2177
As2 0.3333 0.6667 0.7823
Rh1 0.1419 0.8581 0.6600
Rh2 0.1419 0.2837 0.6600
Rh3 0.5000 0.5000 0.0000
Rh4 0.8581 0.7163 0.3400
Rh5 0.2837 0.1419 0.3400
Rh6 0.7163 0.8581 0.6600
Rh7 0.8581 0.1419 0.3400
Rh8 0.0000 0.5000 0.0000
Rh9 0.5000 0.0000 0.0000

Properties
V   257.9 Å³/cell
Symmetry   P-3m1 (164)
M_tot   0.0 μB per formula unit
ΔE_f   -0.7525 eV per atom

***

# LiCeGa2

A geometry-optimized LiCeGa2 structure (PBE, Alexandria via LeMat-Bulk).

abc: 4.4605 5.7406 4.4855
angles: 129.79 90.00 90.00
Each line ends with the local moment (μB).
Atoms (fractional coordinates):
Li1 0.0000 0.4606 0.9213  0.01
Ce1 0.5000 0.7899 0.5799  0.71
Ga1 0.0000 0.0774 0.1548  0.00
Ga2 0.5000 0.2751 0.5501  0.03

Properties
V   88.3 Å³/cell
Symmetry   Amm2 (38)
M_tot   0.8 μB per formula unit
Polymorph energy (0 for the lowest one)   0.82 eV/f.u.
ΔE_f   -0.2128 eV per atom

***

# LiHgOs4

A geometry-optimized LiHgOs4 structure (PBE, Alexandria via LeMat-Bulk).

abc: 5.2111 5.2111 5.2111
angles: 60.00 60.00 60.00
Atoms (fractional coordinates):
Li1 0.0000 0.0000 0.0000
Hg1 0.7500 0.7500 0.7500
Os1 0.8756 0.3748 0.3748
Os2 0.3748 0.3748 0.8756
Os3 0.3748 0.8756 0.3748
Os4 0.3748 0.3748 0.3748

Properties
V   100.1 Å³/cell
Symmetry   F-43m (216)
M_tot   0.0 μB per formula unit
ΔE_f   0.7482 eV per atom

***

# TaTiTe4

A geometry-optimized TaTiTe4 structure (PBE, Alexandria via LeMat-Bulk).

abc: 3.7212 3.7212 14.2088
angles: 90.00 90.00 120.00
Atoms (fractional coordinates):
Ta1 0.0000 0.0000 0.0000
Ti1 0.0000 0.0000 0.5000
Te1 0.6667 0.3333 0.1282
Te2 0.6667 0.3333 0.6235
Te3 0.3333 0.6667 0.3765
Te4 0.3333 0.6667 0.8718

Properties
V   170.4 Å³/cell
Symmetry   P-3m1 (164)
Formation energy from raw total energies   -0.507 eV/atom
M_tot   0.0 μB per formula unit